The following is a DFT calculation (GGA-PBE) of U3Tl3CoS8 after structural relaxation.

raw formation energy: -0.8972 eV/atom
space-group type: R-3m

abc: 8.9239 8.9239 8.9239
angles: 50.74 50.74 50.74
Fractional coordinates of all 15 atoms:
U1 0.0000 0.5000 0.5000
U2 0.5000 0.0000 0.5000
U3 0.5000 0.5000 0.0000
Tl1 0.0000 0.0000 0.5000
Tl2 0.0000 0.5000 0.0000
Tl3 0.5000 0.0000 0.0000
Co1 0.0000 0.0000 0.0000
S1 0.2210 0.2210 0.7438
S2 0.2210 0.7438 0.2210
S3 0.2562 0.7790 0.7790
S4 0.2655 0.2655 0.2655
S5 0.7345 0.7345 0.7345
S6 0.7438 0.2210 0.2210
S7 0.7790 0.2562 0.7790
S8 0.7790 0.7790 0.2562